Record 1
Material: BeSe2
Method: DFT, PBE-GGA
State: optimized geometry

The structure in POSCAR format:
```
BeSe2
1.0
-3.353 -0.469 1.236
0.708 -0.448 -3.505
0.909 -4.501 0.759
Se Be
2 1
Cartesian
-1.761 -1.643 -0.146
0.025 -3.775 -1.365
0.000 0.000 0.000
```

The energy comes out at -0.1330 Ha/atom. The calculation puts the formation energy from raw total energies at -0.054 eV/atom.

---

Record 2
Material: BeSe2
Method: DFT, PBE-GGA
State: optimized geometry

The structure in POSCAR format:
```
BeSe2
1.0
-2.761 2.565 5.178
-3.858 -4.518 -2.392
1.581 -2.435 2.050
Se Be
4 2
Cartesian
-0.409 -3.128 1.222
-4.898 -3.001 1.754
-0.140 -1.387 3.082
-4.629 -1.261 3.614
-4.630 -3.542 3.986
-0.408 -0.846 0.851
```

The energy comes out at -0.1307 Ha/atom. The calculation puts the formation energy from raw total energies at 0.010 eV/atom.

---

Record 3
Material: BeSe
Method: DFT, PBE-GGA
State: optimized geometry

The structure in POSCAR format:
```
BeSe
1.0
-3.369 -4.612 7.410
7.874 -5.668 0.053
3.458 4.847 4.589
Be Se
16 16
Cartesian
4.906 -3.307 9.032
4.600 0.357 2.314
7.039 -4.843 9.046
4.787 0.297 5.315
1.373 -4.432 6.725
2.653 1.833 5.301
-0.761 -2.896 6.711
6.852 -4.783 6.045
6.733 -1.179 2.328
1.067 -0.768 0.007
3.319 -5.908 3.739
6.807 -4.900 0.046
1.111 -0.650 6.007
6.995 -4.960 3.047
4.861 -3.424 3.032
1.186 -4.372 3.724
3.063 0.165 6.753
6.585 -3.293 1.594
-0.351 -4.564 8.164
5.315 -4.975 10.485
-2.712 -3.712 5.964
-0.657 -0.900 1.446
2.954 -4.122 8.285
5.009 -1.310 3.767
0.702 1.018 4.554
5.270 -5.092 4.485
1.595 -6.040 5.177
0.963 -2.764 5.272
4.377 1.965 3.862
6.630 -3.175 7.593
2.910 -4.240 2.286
-0.613 -0.782 7.445
```

The energy comes out at -0.1552 Ha/atom. The calculation puts the formation energy from raw total energies at -0.619 eV/atom.

---

Record 4
Material: Be5Se
Method: DFT, PBE-GGA
State: optimized geometry

The structure in POSCAR format:
```
Be5Se
1.0
-0.821 -2.140 1.062
2.382 -0.648 0.536
-0.809 5.249 9.952
Be Se
5 1
Cartesian
-0.231 1.496 2.837
-0.578 3.753 7.115
-0.405 2.624 4.976
0.287 1.810 6.873
0.465 0.651 4.676
0.780 -1.394 0.799
```

The energy comes out at -0.1233 Ha/atom. The calculation puts the formation energy from raw total energies at 0.332 eV/atom.

---

Record 5
Material: Be3Se
Method: DFT, PBE-GGA
State: optimized geometry

The structure in POSCAR format:
```
Be3Se
1.0
-4.759 -5.068 4.630
1.498 -3.394 -2.175
4.879 -0.623 4.332
Be Se
12 4
Cartesian
1.917 -6.102 6.590
2.586 -2.859 4.113
-1.047 -1.285 1.282
3.851 -4.006 2.523
1.856 -3.259 2.110
-0.299 -2.984 0.196
2.665 -7.800 5.504
1.109 -1.561 3.196
0.509 -7.525 3.590
-2.233 -5.079 4.263
-0.968 -6.227 2.673
-0.238 -5.826 4.677
1.202 -1.423 0.921
0.416 -7.663 5.866
0.357 -4.818 1.384
1.261 -4.268 5.402
```

The energy comes out at -0.1328 Ha/atom. The calculation puts the formation energy from raw total energies at 0.052 eV/atom.

---

Record 6
Material: Be5Se
Method: DFT, PBE-GGA
State: optimized geometry

The structure in POSCAR format:
```
Be5Se
1.0
-3.982 1.428 1.548
0.308 -3.977 -2.092
0.652 -1.616 3.169
Be Se
5 1
Cartesian
-0.796 -2.984 0.706
-1.836 -1.274 -0.272
-1.992 0.715 0.775
-2.226 -1.182 1.919
0.154 -1.990 -1.047
0.326 -0.808 1.585
```

The energy comes out at -0.1199 Ha/atom. The calculation puts the formation energy from raw total energies at 0.423 eV/atom.

---

Record 7
Material: BeSe2
Method: DFT, PBE-GGA
State: optimized geometry

The structure in POSCAR format:
```
BeSe2
1.0
-0.122 5.587 -6.647
-2.125 -7.044 4.613
-4.033 2.814 2.440
Se Be
4 2
Cartesian
-5.138 -4.862 6.380
-1.493 4.004 -3.998
-4.786 -2.646 4.404
-1.141 6.220 -5.973
-2.330 -1.278 0.711
-3.949 2.636 -0.304
```

The energy comes out at -0.1288 Ha/atom. The calculation puts the formation energy from raw total energies at 0.059 eV/atom.

---

Record 8
Material: BeSe2
Method: DFT, PBE-GGA
State: optimized geometry

The structure in POSCAR format:
```
BeSe2
1.0
-5.049 -0.680 -2.803
0.316 -1.037 5.713
-2.921 12.031 2.345
Se Be
8 4
Cartesian
-5.356 7.691 4.651
-1.461 6.016 1.172
-2.899 8.582 3.141
-4.919 2.271 -0.852
-4.755 1.733 2.114
-2.298 2.624 0.603
-2.734 8.044 6.107
0.000 0.000 0.000
-3.684 0.946 0.376
-4.298 3.472 0.868
-3.356 6.842 4.387
-3.970 9.369 4.879
```

The energy comes out at -0.1105 Ha/atom. The calculation puts the formation energy from raw total energies at 0.557 eV/atom.

---

Record 9
Material: BeSe
Method: DFT, PBE-GGA
State: optimized geometry

The structure in POSCAR format:
```
BeSe
1.0
4.830 -0.217 0.000
-3.588 3.241 0.000
0.000 0.000 3.266
Be Se
1 1
Cartesian
0.000 0.000 0.000
0.621 1.512 1.633
```

The energy comes out at -0.1325 Ha/atom. The calculation puts the formation energy from raw total energies at -0.001 eV/atom.

---

Record 10
Material: BeSe
Method: DFT, PBE-GGA
State: optimized geometry

The structure in POSCAR format:
```
BeSe
1.0
-1.606 -1.276 -10.046
2.690 -2.375 -0.128
-3.977 -4.570 1.216
Be Se
6 6
Cartesian
-2.102 -7.188 -3.983
0.774 -2.625 -2.800
-2.948 -4.727 -7.170
0.091 -3.167 -7.068
-1.598 -2.245 0.541
-2.024 -3.993 -1.392
-1.993 -2.747 -7.772
-1.008 -1.965 -1.615
-0.337 -2.530 -4.857
-1.221 -4.443 0.760
-2.012 -6.467 -6.115
-1.390 -5.973 -2.226
```

The energy comes out at -0.1540 Ha/atom. The calculation puts the formation energy from raw total energies at -0.585 eV/atom.

---

Record 11
Material: BeSe
Method: DFT, PBE-GGA
State: optimized geometry

The structure in POSCAR format:
```
BeSe
1.0
7.459 -0.117 0.000
-6.649 3.382 0.000
0.000 0.000 3.364
Se Be
2 2
Cartesian
5.316 0.415 2.523
-4.506 2.850 0.841
3.156 0.950 2.523
-2.347 2.315 0.841
```

The energy comes out at -0.1441 Ha/atom. The calculation puts the formation energy from raw total energies at -0.317 eV/atom.

---

Record 12
Material: BeSe2
Method: DFT, PBE-GGA
State: optimized geometry

The structure in POSCAR format:
```
BeSe2
1.0
1.451 7.605 -0.090
-1.451 7.605 -0.090
0.000 3.574 6.604
Be Se
2 4
Cartesian
0.000 12.664 2.113
0.000 6.121 4.310
0.000 3.995 3.735
0.000 14.789 2.688
0.000 13.867 6.213
0.000 4.918 0.211
```

The energy comes out at -0.1352 Ha/atom. The calculation puts the formation energy from raw total energies at -0.113 eV/atom.